DFT (PBE) results for a geometry-optimized HfHg2 structure.

Computed properties:
The total magnetic moment comes out at 5.62 μB per cell. The calculation puts the formation energy at 1.3314 eV per atom. The total energy comes out at -2.185 eV per atom. Its space group is No. 227.

a b c (Å): 9.175 9.175 9.175
angles (deg): 60.00 60.00 60.00
Element x y z (fractional)
Hf 0.125 0.125 0.125
Hf 0.875 0.875 0.875
Hg 0.000 0.000 0.000
Hg 0.000 0.000 0.500
Hg 0.000 0.500 0.000
Hg 0.500 0.000 0.000

DFT (PBE) results for a geometry-optimized Hf2InHg structure.

Computed properties:
The total magnetic moment comes out at 2.24 μB per cell. The total energy comes out at -5.378 eV per atom. Its space group is No. 216.

a b c (Å): 5.029 5.029 5.029
angles (deg): 60.00 60.00 60.00
Element x y z (fractional)
Hf 0.000 0.000 0.000
Hf 0.250 0.250 0.250
In 0.500 0.500 0.500
Hg 0.750 0.750 0.750